PmGaB: optimized geometry, PBE.

abc: 6.4336 6.4336 6.4336
angles: 90.00 90.00 90.00
Closest atoms and distances in Å follow each position.
Sites, in units of the cell vectors:
Pm (0.0000, 0.0000, 0.0000)  4 B 2.79, 4 Ga 2.79
Pm (0.0000, 0.5000, 0.5000)  4 B 2.79, 4 Ga 2.79
Pm (0.5000, 0.0000, 0.5000)  4 B 2.79, 4 Ga 2.79
Pm (0.5000, 0.5000, 0.0000)  4 B 2.79, 4 Ga 2.79
Ga (0.2500, 0.2500, 0.2500)  4 Pm 2.79
Ga (0.2500, 0.7500, 0.7500)  4 Pm 2.79
Ga (0.7500, 0.2500, 0.7500)  4 Pm 2.79
Ga (0.7500, 0.7500, 0.2500)  4 Pm 2.79
B (0.2500, 0.2500, 0.7500)  4 Pm 2.79
B (0.2500, 0.7500, 0.2500)  4 Pm 2.79
B (0.7500, 0.2500, 0.2500)  4 Pm 2.79
B (0.7500, 0.7500, 0.7500)  4 Pm 2.79

Results
DFT total energy: -4.11 eV/atom
Space group: F-43m
Excess energy over the best structure of this formula in the dataset: 0.772 eV/atom